VASP calculation (GGA-PBE) on a relaxed BaSn2O6 crystal.

```
BaSn2O6
1.0
7.413 0.000 0.000
3.707 6.420 0.000
3.707 2.140 6.053
Ba Sn O
2 4 12
Direct
0.500 0.500 0.500
0.750 0.750 0.750
0.125 0.125 0.125
0.125 0.625 0.125
0.125 0.125 0.625
0.625 0.125 0.125
0.213 0.213 0.787
0.787 0.787 0.213
0.213 0.787 0.213
0.213 0.787 0.787
0.463 0.463 0.037
0.463 0.037 0.037
0.787 0.213 0.787
0.037 0.037 0.463
0.463 0.037 0.463
0.037 0.463 0.463
0.787 0.213 0.213
0.037 0.463 0.037
```

E_form (uncorrected) = -141.6 kJ/mol of atoms
DFT total energy = -105.8 eV/cell